(1)
# YUAsN2, relaxed, DFT PBE
data_YUAsN2
_cell_length_a 6.530
_cell_length_b 6.530
_cell_length_c 6.530
_cell_angle_alpha 145.97
_cell_angle_beta 145.97
_cell_angle_gamma 48.89
_symmetry_space_group_name_H-M 'P 1'
_symmetry_Int_Tables_number 1
loop_
_symmetry_equiv_pos_as_xyz
'x,y,z'
loop_
_atom_site_label
_atom_site_fract_x
_atom_site_fract_y
_atom_site_fract_z
Y1 0.000 0.000 0.000
U1 0.310 0.310 0.000
As1 0.661 0.661 0.000
N1 0.391 0.891 0.500
N2 0.891 0.391 0.500
# Raw total energy = -9.15 eV per atom
# Space group = I4mm, No. 107
# Raw formation energy = -1.34 eV per atom


(2)
# Ba2SrCu, relaxed, DFT PBE
data_Ba2SrCu
_cell_length_a 7.699
_cell_length_b 7.699
_cell_length_c 7.699
_cell_angle_alpha 148.93
_cell_angle_beta 131.59
_cell_angle_gamma 58.65
_symmetry_space_group_name_H-M 'P 1'
_symmetry_Int_Tables_number 1
loop_
_symmetry_equiv_pos_as_xyz
'x,y,z'
loop_
_atom_site_label
_atom_site_fract_x
_atom_site_fract_y
_atom_site_fract_z
Ba1 0.183 0.183 0.000
Ba2 0.817 0.817 0.000
Sr1 0.500 0.000 0.500
Cu1 0.000 0.500 0.500
# Energy above the lowest structure with this stoichiometry = 0.088 eV/atom
# Raw total energy = -2.31 eV per atom
# DFT formation energy = 0.39 eV/f.u.
# Space group = Immm, No. 71


(3)
# Be2CrFe, relaxed, DFT PBE
data_Be2CrFe
_cell_length_a 2.401
_cell_length_b 3.766
_cell_length_c 4.279
_cell_angle_alpha 90.00
_cell_angle_beta 97.53
_cell_angle_gamma 90.00
_symmetry_space_group_name_H-M 'P 1'
_symmetry_Int_Tables_number 1
loop_
_symmetry_equiv_pos_as_xyz
'x,y,z'
loop_
_atom_site_label
_atom_site_fract_x
_atom_site_fract_y
_atom_site_fract_z
Be1 0.000 0.000 0.000
Be2 0.021 0.500 0.742
Cr1 0.592 0.500 0.235
Fe1 0.412 0.000 0.516
# Energy above the lowest structure with this stoichiometry = 0.091 eV/atom
# Raw total energy = -6.44 eV per atom
# DFT formation energy = -0.22 eV/f.u.
# Space group = Pm, No. 6


(4)
# EuDyTm2, relaxed, DFT PBE
data_EuDyTm2
_cell_length_a 12.586
_cell_length_b 12.586
_cell_length_c 12.586
_cell_angle_alpha 15.99
_cell_angle_beta 15.99
_cell_angle_gamma 15.99
_symmetry_space_group_name_H-M 'P 1'
_symmetry_Int_Tables_number 1
loop_
_symmetry_equiv_pos_as_xyz
'x,y,z'
loop_
_atom_site_label
_atom_site_fract_x
_atom_site_fract_y
_atom_site_fract_z
Eu1 0.000 0.000 0.000
Dy1 0.500 0.500 0.500
Tm1 0.091 0.091 0.091
Tm2 0.909 0.909 0.909
# Energy above the lowest structure with this stoichiometry = 0.101 eV/atom
# Raw total energy = -5.78 eV per atom
# DFT formation energy = 0.68 eV/f.u.
# Space group = R-3m, No. 166


(5)
# La6Pm2Ag, relaxed, DFT PBE
data_La6Pm2Ag
_cell_length_a 3.773
_cell_length_b 9.791
_cell_length_c 9.791
_cell_angle_alpha 119.95
_cell_angle_beta 90.00
_cell_angle_gamma 90.00
_symmetry_space_group_name_H-M 'P 1'
_symmetry_Int_Tables_number 1
loop_
_symmetry_equiv_pos_as_xyz
'x,y,z'
loop_
_atom_site_label
_atom_site_fract_x
_atom_site_fract_y
_atom_site_fract_z
La1 0.000 0.000 0.000
La2 0.000 0.466 0.733
La3 0.000 0.733 0.466
La4 0.500 0.114 0.733
La5 0.500 0.352 0.352
La6 0.500 0.733 0.114
Pm1 0.000 0.066 0.400
Pm2 0.000 0.400 0.066
Ag1 0.500 0.733 0.733
# Raw total energy = -4.70 eV per atom
# DFT formation energy = -0.35 eV/f.u.
# Space group = Amm2, No. 38


(6)
# Ta2Pd2W, relaxed, DFT PBE
data_Ta2Pd2W
_cell_length_a 7.455
_cell_length_b 7.455
_cell_length_c 7.455
_cell_angle_alpha 152.29
_cell_angle_beta 152.29
_cell_angle_gamma 39.59
_symmetry_space_group_name_H-M 'P 1'
_symmetry_Int_Tables_number 1
loop_
_symmetry_equiv_pos_as_xyz
'x,y,z'
loop_
_atom_site_label
_atom_site_fract_x
_atom_site_fract_y
_atom_site_fract_z
Ta1 0.099 0.099 0.000
Ta2 0.901 0.901 0.000
Pd1 0.250 0.750 0.500
Pd2 0.750 0.250 0.500
W1 0.500 0.500 0.000
# Energy above the lowest structure with this stoichiometry = 0.209 eV/atom
# Raw total energy = -9.11 eV per atom
# DFT formation energy = 1.48 eV/f.u.
# Space group = I4/mmm, No. 139


(7)
# FeCu2Pd, relaxed, DFT PBE
data_FeCu2Pd
_cell_length_a 5.390
_cell_length_b 5.390
_cell_length_c 5.390
_cell_angle_alpha 102.58
_cell_angle_beta 102.58
_cell_angle_gamma 124.35
_symmetry_space_group_name_H-M 'P 1'
_symmetry_Int_Tables_number 1
loop_
_symmetry_equiv_pos_as_xyz
'x,y,z'
loop_
_atom_site_label
_atom_site_fract_x
_atom_site_fract_y
_atom_site_fract_z
Fe1 0.000 0.000 0.000
Fe2 0.750 0.250 0.500
Cu1 0.112 0.125 0.487
Cu2 0.375 0.888 0.013
Cu3 0.638 0.625 0.513
Cu4 0.875 0.362 0.987
Pd1 0.250 0.750 0.500
Pd2 0.500 0.500 0.000
# Energy above the lowest structure with this stoichiometry = 0.368 eV/atom
# Raw total energy = -5.05 eV per atom
# DFT formation energy = 1.63 eV/f.u.
# Space group = I-42d, No. 122


(8)
# LaTc2Pb, relaxed, DFT PBE
data_LaTc2Pb
_cell_length_a 10.031
_cell_length_b 10.031
_cell_length_c 10.031
_cell_angle_alpha 18.22
_cell_angle_beta 18.22
_cell_angle_gamma 18.22
_symmetry_space_group_name_H-M 'P 1'
_symmetry_Int_Tables_number 1
loop_
_symmetry_equiv_pos_as_xyz
'x,y,z'
loop_
_atom_site_label
_atom_site_fract_x
_atom_site_fract_y
_atom_site_fract_z
La1 0.000 0.000 0.000
Tc1 0.248 0.248 0.248
Tc2 0.521 0.521 0.521
Pb1 0.773 0.773 0.773
# Raw total energy = -6.90 eV per atom
# DFT formation energy = 1.77 eV/f.u.
# Space group = R3m, No. 160


(9)
# Ac2DyMn2N6, relaxed, DFT PBE
data_Ac2DyMn2N6
_cell_length_a 6.928
_cell_length_b 6.928
_cell_length_c 6.928
_cell_angle_alpha 48.70
_cell_angle_beta 48.70
_cell_angle_gamma 48.70
_symmetry_space_group_name_H-M 'P 1'
_symmetry_Int_Tables_number 1
loop_
_symmetry_equiv_pos_as_xyz
'x,y,z'
loop_
_atom_site_label
_atom_site_fract_x
_atom_site_fract_y
_atom_site_fract_z
Ac1 0.215 0.215 0.215
Ac2 0.785 0.785 0.785
Dy1 0.000 0.000 0.000
Mn1 0.403 0.403 0.403
Mn2 0.597 0.597 0.597
N1 0.245 0.739 0.739
N2 0.261 0.261 0.755
N3 0.261 0.755 0.261
N4 0.739 0.245 0.739
N5 0.739 0.739 0.245
N6 0.755 0.261 0.261
# Raw total energy = -8.16 eV per atom
# Space group = R-3m, No. 166
# Raw formation energy = -0.78 eV per atom


(10)
# FeCo4Ge, relaxed, DFT PBE
data_FeCo4Ge
_cell_length_a 4.363
_cell_length_b 4.363
_cell_length_c 5.134
_cell_angle_alpha 106.58
_cell_angle_beta 106.58
_cell_angle_gamma 47.41
_symmetry_space_group_name_H-M 'P 1'
_symmetry_Int_Tables_number 1
loop_
_symmetry_equiv_pos_as_xyz
'x,y,z'
loop_
_atom_site_label
_atom_site_fract_x
_atom_site_fract_y
_atom_site_fract_z
Fe1 0.000 0.000 0.000
Co1 0.329 0.329 0.160
Co2 0.335 0.335 0.670
Co3 0.665 0.665 0.330
Co4 0.671 0.671 0.840
Ge1 0.000 0.000 0.500
# Energy above the lowest structure with this stoichiometry = 0.000 eV/atom
# Raw total energy = -6.97 eV per atom
# DFT formation energy = -0.31 eV/f.u.
# Space group = C2/m, No. 12


(11)
# Ge2SeBr2, relaxed, DFT PBE
data_Ge2SeBr2
_cell_length_a 7.242
_cell_length_b 7.242
_cell_length_c 9.263
_cell_angle_alpha 113.88
_cell_angle_beta 113.88
_cell_angle_gamma 46.62
_symmetry_space_group_name_H-M 'P 1'
_symmetry_Int_Tables_number 1
loop_
_symmetry_equiv_pos_as_xyz
'x,y,z'
loop_
_atom_site_label
_atom_site_fract_x
_atom_site_fract_y
_atom_site_fract_z
Ge1 0.023 0.023 0.306
Ge2 0.314 0.314 0.888
Ge3 0.686 0.686 0.112
Ge4 0.977 0.977 0.694
Se1 0.139 0.139 0.626
Se2 0.861 0.861 0.374
Br1 0.166 0.166 0.053
Br2 0.453 0.453 0.740
Br3 0.547 0.547 0.260
Br4 0.834 0.834 0.947
# Raw total energy = -3.56 eV per atom
# Space group = C2/m, No. 12
# Raw formation energy = -0.34 eV per atom


(12)
# U2Cd2Ni15, relaxed, DFT PBE
data_U2Cd2Ni15
_cell_length_a 6.398
_cell_length_b 6.398
_cell_length_c 6.398
_cell_angle_alpha 81.53
_cell_angle_beta 81.53
_cell_angle_gamma 81.53
_symmetry_space_group_name_H-M 'P 1'
_symmetry_Int_Tables_number 1
loop_
_symmetry_equiv_pos_as_xyz
'x,y,z'
loop_
_atom_site_label
_atom_site_fract_x
_atom_site_fract_y
_atom_site_fract_z
U1 0.101 0.101 0.101
U2 0.899 0.899 0.899
Cd1 0.367 0.367 0.367
Cd2 0.633 0.633 0.633
Ni1 0.000 0.000 0.500
Ni2 0.000 0.321 0.679
Ni3 0.000 0.500 0.000
Ni4 0.000 0.679 0.321
Ni5 0.165 0.659 0.659
Ni6 0.321 0.000 0.679
Ni7 0.321 0.679 0.000
Ni8 0.341 0.341 0.835
Ni9 0.341 0.835 0.341
Ni10 0.500 0.000 0.000
Ni11 0.659 0.165 0.659
Ni12 0.659 0.659 0.165
Ni13 0.679 0.000 0.321
Ni14 0.679 0.321 0.000
Ni15 0.835 0.341 0.341
# Raw total energy = -5.88 eV per atom
# DFT formation energy = -0.53 eV/f.u.
# Space group = R-3m, No. 166